1.
The following is a GGA-PBE calculation of a relaxed CaCe3Au4 crystal, from Alexandria via LeMat-Bulk.

Output
* size of the total moment: 3.10 μB/cell
* ΔE_f: -0.645 eV per atom

```
8
Lattice="3.654 0.000 0.000 0.000 3.654 0.000 0.000 0.000 14.987" Properties=species:S:1:pos:R:3 pbc="T T T"
Ce 1.827 1.827 11.265
Ca 1.827 1.827 0.000
Au 0.000 0.000 5.607
Au 0.000 0.000 13.081
Ce 1.827 1.827 3.722
Au 0.000 0.000 9.380
Au 0.000 0.000 1.906
Ce 1.827 1.827 7.493
```


2.
The following is a GGA-PBE calculation of a relaxed CaCeAu crystal, from Alexandria via LeMat-Bulk.

Output
* size of the total moment: 1.59 μB/cell
* ΔE_f: -0.380 eV per atom

```
3
Lattice="-2.279 2.541 1.329 -2.867 -2.010 -1.073 2.545 -3.332 5.689" Properties=species:S:1:pos:R:3 pbc="T T T"
Ca -0.002 -0.176 0.334
Ce -0.017 -1.852 3.512
Au -2.582 -0.774 2.098
```


3.
The following is a GGA-PBE calculation of a relaxed CaCeGeAu crystal, from Alexandria via LeMat-Bulk.

Output
* size of the total moment: 0.93 μB/cell
* ΔE_f: -0.687 eV per atom

```
4
Lattice="-1.476 -0.788 -4.905 2.929 -2.885 -3.155 -1.637 -4.685 -1.493" Properties=species:S:1:pos:R:3 pbc="T T T"
Ge -0.046 -2.089 -2.388
Ca -0.092 -4.179 -4.777
Ce 0.000 0.000 0.000
Au -0.138 -6.268 -7.165
```


4.
The following is a GGA-PBE calculation of a relaxed Ca2CeGe3Au12 crystal, from Alexandria via LeMat-Bulk.

Output
* size of the total moment: 1.10 μB/cell
* ΔE_f: -0.144 eV per atom

```
18
Lattice="-5.869 -4.893 -2.190 2.847 -5.376 -5.117 0.868 -6.964 3.734" Properties=species:S:1:pos:R:3 pbc="T T T"
Au -3.746 -7.858 -2.248
Ge 0.434 -3.482 1.867
Ge 1.424 -2.688 -2.558
Au -3.071 -12.037 -0.714
Au 0.917 -5.195 -2.859
Au 0.809 -12.252 -2.017
Au -0.205 -8.947 0.867
Au -2.190 -11.330 -4.655
Au -1.950 -8.285 -4.440
Au -2.963 -4.980 -1.556
Au 0.036 -5.902 1.081
Ge -2.935 -2.446 -1.095
Au -2.990 -9.120 0.213
Ca -1.280 -10.242 -2.124
Au 1.592 -9.374 -1.326
Ce 0.000 0.000 0.000
Ca -0.874 -6.991 -1.450
Au 0.836 -8.112 -3.786
```


5.
The following is a GGA-PBE calculation of a relaxed CaCe2HgAu4 crystal, from Alexandria via LeMat-Bulk.

Output
* size of the total moment: 1.82 μB/cell
* ΔE_f: -0.641 eV per atom

```
8
Lattice="5.116 0.000 0.000 2.558 4.431 0.000 2.558 1.477 8.421" Properties=species:S:1:pos:R:3 pbc="T T T"
Au 5.116 2.954 0.874
Ca 0.000 0.000 0.000
Au 5.116 2.954 7.547
Au 2.558 1.477 5.414
Ce 7.675 4.431 6.094
Au 7.675 4.431 3.007
Hg 5.116 2.954 4.211
Ce 2.558 1.477 2.328
```


6.
The following is a GGA-PBE calculation of a relaxed CaCeHgAu crystal, from Alexandria via LeMat-Bulk.

Output
* size of the total moment: 1.21 μB/cell
* ΔE_f: -0.553 eV per atom

```
4
Lattice="-4.365 2.127 -2.092 -4.726 -1.025 2.137 -2.602 3.794 2.606" Properties=species:S:1:pos:R:3 pbc="T T T"
Hg -5.847 2.448 1.325
Ce -8.770 3.672 1.987
Ca -2.923 1.224 0.662
Au 0.000 0.000 0.000
```


7.
The following is a GGA-PBE calculation of a relaxed CaCeInAu crystal, from Alexandria via LeMat-Bulk.

Output
* size of the total moment: 0.72 μB/cell
* ΔE_f: -0.520 eV per atom

```
4
Lattice="5.326 0.000 0.000 2.663 4.613 0.000 2.663 1.538 4.349" Properties=species:S:1:pos:R:3 pbc="T T T"
Ca 7.990 4.613 3.262
Ce 2.663 1.538 1.087
Au 0.000 0.000 0.000
In 5.326 3.075 2.175
```


8.
The following is a GGA-PBE calculation of a relaxed CaCeInAu crystal, from Alexandria via LeMat-Bulk.

Output
* size of the total moment: 0.88 μB/cell
* ΔE_f: -0.552 eV per atom

```
4
Lattice="-1.064 1.862 -2.928 -3.443 -0.944 0.651 -0.950 6.601 4.545" Properties=species:S:1:pos:R:3 pbc="T T T"
Ce -0.795 5.524 3.803
In -2.355 1.163 -0.654
Au -2.831 4.469 1.622
Ca -0.358 2.490 1.714
```


9.
The following is a GGA-PBE calculation of a relaxed CaCeIrAu crystal, from Alexandria via LeMat-Bulk.

Output
* size of the total moment: 0.70 μB/cell
* ΔE_f: -0.578 eV per atom

```
4
Lattice="-1.808 4.333 -1.792 -2.986 2.852 2.864 1.688 4.370 1.817" Properties=species:S:1:pos:R:3 pbc="T T T"
Ca -0.777 2.889 0.722
Au 0.000 0.000 0.000
Ir -1.553 5.778 1.445
Ce -2.330 8.667 2.167
```


10.
The following is a GGA-PBE calculation of a relaxed LiCaCeAu crystal, from Alexandria via LeMat-Bulk.

Output
* size of the total moment: 1.20 μB/cell
* ΔE_f: -0.281 eV per atom

```
4
Lattice="5.226 0.000 0.000 2.613 4.526 0.000 2.613 1.509 4.267" Properties=species:S:1:pos:R:3 pbc="T T T"
Ce 7.840 4.526 3.201
Au 0.000 0.000 0.000
Ca 2.613 1.509 1.067
Li 5.226 3.017 2.134
```


11.
The following is a GGA-PBE calculation of a relaxed CaCe2MgAu4 crystal, from Alexandria via LeMat-Bulk.

Output
* size of the total moment: 1.78 μB/cell
* ΔE_f: -0.677 eV per atom

```
8
Lattice="5.103 0.000 0.000 2.551 4.419 0.000 2.551 1.473 8.335" Properties=species:S:1:pos:R:3 pbc="T T T"
Au 5.103 2.946 1.084
Ce 2.551 1.473 2.184
Ca 0.000 0.000 0.000
Au 2.551 1.473 5.222
Au 5.103 2.946 7.250
Au 7.654 4.419 3.112
Ce 7.654 4.419 6.150
Mg 5.103 2.946 4.167
```


12.
The following is a GGA-PBE calculation of a relaxed CaCeMgAu crystal, from Alexandria via LeMat-Bulk.

Output
* size of the total moment: 1.01 μB/cell
* ΔE_f: -0.297 eV per atom

```
4
Lattice="-0.552 3.634 -3.824 -3.441 -0.812 -3.954 -4.437 2.892 -0.290" Properties=species:S:1:pos:R:3 pbc="T T T"
Ce -6.322 4.285 -6.051
Mg -4.215 2.857 -4.034
Au 0.000 0.000 0.000
Ca -2.107 1.428 -2.017
```


13.
The following is a GGA-PBE calculation of a relaxed CaCeMg2Au4 crystal, from Alexandria via LeMat-Bulk.

Output
* size of the total moment: 0.61 μB/cell
* ΔE_f: -0.661 eV per atom

```
8
Lattice="-1.522 -3.052 3.667 -3.260 -3.671 -0.989 4.501 -7.219 -0.720" Properties=species:S:1:pos:R:3 pbc="T T T"
Au -2.447 -5.087 1.590
Mg -0.240 -10.433 1.477
Ca -0.140 -6.971 0.979
Mg -0.041 -3.509 0.482
Au 2.201 -5.341 -0.111
Au -2.482 -8.602 2.070
Au 2.166 -8.855 0.369
Ce 0.000 0.000 0.000
```


14.
The following is a GGA-PBE calculation of a relaxed NaCaCe2Au4 crystal, from Alexandria via LeMat-Bulk.

Output
* size of the total moment: 2.03 μB/cell
* ΔE_f: -0.606 eV per atom

```
8
Lattice="-0.072 4.460 2.577 -4.317 1.551 2.344 0.902 -2.011 8.654" Properties=species:S:1:pos:R:3 pbc="T T T"
Au -2.655 3.548 4.084
Ce -2.640 3.043 10.107
Ca 0.000 0.000 0.000
Au -0.832 0.453 9.491
Au -3.519 4.535 7.500
Ce -0.847 0.958 3.467
Au 0.032 -0.534 6.074
Na -1.743 2.000 6.787
```


15.
The following is a GGA-PBE calculation of a relaxed CaCeNiAu crystal, from Alexandria via LeMat-Bulk.

Output
* size of the total moment: 0.65 μB/cell
* ΔE_f: -0.378 eV per atom

```
4
Lattice="-0.195 -4.845 1.352 4.245 -2.492 1.053 1.026 -1.332 4.745" Properties=species:S:1:pos:R:3 pbc="T T T"
Ca 0.000 0.000 0.000
Au 3.807 -6.502 5.363
Ce 2.538 -4.335 3.575
Ni 1.269 -2.167 1.788
```


16.
The following is a GGA-PBE calculation of a relaxed CaCeAu2O8 crystal, from Alexandria via LeMat-Bulk.

Output
* raw formation energy: -1096 meV/atom
* size of the total moment: 0.57 μB/cell

```
12
Lattice="-0.191 5.491 -0.743 -1.662 0.653 5.249 6.094 -2.677 -0.666" Properties=species:S:1:pos:R:3 pbc="T T T"
O -0.104 2.044 0.766
Au -0.927 3.072 2.253
Ca 2.488 2.943 0.422
O 5.099 2.033 0.467
O 1.807 3.907 3.506
O 2.428 0.568 0.102
O 2.125 2.679 2.777
O 4.714 -1.283 2.547
O 2.122 -0.220 1.296
O -1.227 4.139 3.900
Au 1.753 0.524 3.418
Ce 0.000 0.000 0.000
```


17.
The following is a GGA-PBE calculation of a relaxed CaCePbAu crystal, from Alexandria via LeMat-Bulk.

Output
* size of the total moment: 1.04 μB/cell
* ΔE_f: -0.585 eV per atom

```
4
Lattice="-1.374 1.278 -5.057 -0.090 -3.812 -3.815 -4.709 -1.682 -2.022" Properties=species:S:1:pos:R:3 pbc="T T T"
Pb -4.630 -3.162 -8.171
Au -1.543 -1.054 -2.724
Ca -3.086 -2.108 -5.447
Ce 0.000 0.000 0.000
```


18.
The following is a GGA-PBE calculation of a relaxed CaCe2PbAu4 crystal, from Alexandria via LeMat-Bulk.

Output
* size of the total moment: 1.75 μB/cell
* ΔE_f: -0.667 eV per atom

```
8
Lattice="-3.894 0.947 3.218 -3.326 -3.737 1.180 2.498 -3.210 8.071" Properties=species:S:1:pos:R:3 pbc="T T T"
Ca -2.361 -3.000 6.235
Ce -1.299 -1.445 2.957
Au 0.532 -2.296 5.423
Au -0.636 -3.802 8.558
Pb 0.000 0.000 0.000
Au -4.086 -2.198 3.912
Au -5.253 -3.704 7.047
Ce -3.422 -4.555 9.512
```


19.
The following is a GGA-PBE calculation of a relaxed Ca2CePrAu4 crystal, from Alexandria via LeMat-Bulk.

Output
* size of the total moment: 0.93 μB/cell
* ΔE_f: -0.754 eV per atom

```
8
Lattice="-0.858 1.947 4.755 -4.340 -1.265 2.589 2.266 -6.434 5.897" Properties=species:S:1:pos:R:3 pbc="T T T"
Au 0.016 -5.344 7.899
Au -3.681 -1.845 8.653
Ca -0.735 -1.434 3.309
Pr 0.000 0.000 0.000
Au 0.749 -3.906 4.588
Ca -2.197 -4.317 9.933
Au -2.948 -0.407 5.342
Ce -1.466 -2.876 6.621
```


20.
The following is a GGA-PBE calculation of a relaxed CaCePu2Au4 crystal, from Alexandria via LeMat-Bulk.

Output
* size of the total moment: 12.80 μB/cell
* ΔE_f: -0.527 eV per atom

```
8
Lattice="-0.386 -3.607 3.693 2.815 -4.333 -0.310 7.058 1.105 5.446" Properties=species:S:1:pos:R:3 pbc="T T T"
Pu 7.088 -5.142 6.603
Pu 2.399 -1.692 2.226
Ca 0.000 0.000 0.000
Au 2.396 -4.827 2.792
Au 4.737 -0.288 3.842
Au 4.750 -6.546 4.987
Ce 4.743 -3.417 4.414
Au 7.091 -2.008 6.037
```


21.
The following is a GGA-PBE calculation of a relaxed CaCeRhAu crystal, from Alexandria via LeMat-Bulk.

Output
* size of the total moment: 0.82 μB/cell
* ΔE_f: -0.593 eV per atom

```
4
Lattice="-4.450 -2.358 0.168 -0.241 -4.827 1.424 -2.041 -1.217 4.444" Properties=species:S:1:pos:R:3 pbc="T T T"
Ca -1.683 -2.101 1.509
Rh -3.366 -4.201 3.018
Au 0.000 0.000 0.000
Ce -5.048 -6.302 4.527
```


22.
The following is a GGA-PBE calculation of a relaxed CaCeRuAu crystal, from Alexandria via LeMat-Bulk.

Output
* size of the total moment: 0.32 μB/cell
* ΔE_f: -0.318 eV per atom

```
4
Lattice="-2.185 1.361 4.285 -2.552 -3.360 2.681 1.824 -1.624 4.362" Properties=species:S:1:pos:R:3 pbc="T T T"
Ca 0.000 0.000 0.000
Ru -2.185 -2.717 8.496
Au -0.728 -0.906 2.832
Ce -1.457 -1.811 5.664
```


23.
The following is a GGA-PBE calculation of a relaxed CaCeSbAu crystal, from Alexandria via LeMat-Bulk.

Output
* raw formation energy: -784 meV/atom
* size of the total moment: 1.41 μB/cell

```
4
Lattice="-5.187 -0.494 1.182 -1.568 -0.217 5.102 -2.651 4.106 2.157" Properties=species:S:1:pos:R:3 pbc="T T T"
Ce -2.352 0.849 2.110
Sb 0.000 0.000 0.000
Au -4.703 1.697 4.220
Ca -7.055 2.546 6.331
```


24.
The following is a GGA-PBE calculation of a relaxed CaCeSiAu crystal, from Alexandria via LeMat-Bulk.

Output
* raw formation energy: -579 meV/atom
* size of the total moment: 0.89 μB/cell

```
4
Lattice="-2.680 -0.662 -4.346 -1.762 -4.673 -1.251 -5.048 -0.990 0.214" Properties=species:S:1:pos:R:3 pbc="T T T"
Au -7.117 -4.744 -4.037
Ce 0.000 0.000 0.000
Ca -4.745 -3.162 -2.692
Si -2.372 -1.581 -1.346
```


25.
The following is a GGA-PBE calculation of a relaxed CaCeSnAu crystal, from Alexandria via LeMat-Bulk.

Output
* size of the total moment: 0.99 μB/cell
* ΔE_f: -0.672 eV per atom

```
4
Lattice="-2.049 2.278 4.380 -2.144 -3.039 3.839 2.493 -0.523 4.699" Properties=species:S:1:pos:R:3 pbc="T T T"
Sn -0.425 -0.321 3.230
Ca 0.000 0.000 0.000
Au -1.275 -0.963 9.689
Ce -0.850 -0.642 6.459
```


26.
The following is a GGA-PBE calculation of a relaxed CaCe2Sn2Au2 crystal, from Alexandria via LeMat-Bulk.

Output
* size of the total moment: 1.97 μB/cell
* ΔE_f: -0.564 eV per atom

```
7
Lattice="-4.145 0.473 2.348 -0.832 -2.598 3.934 2.047 5.975 7.292" Properties=species:S:1:pos:R:3 pbc="T T T"
Au -2.206 0.588 5.748
Ca 0.000 0.000 0.000
Sn -2.036 3.178 10.407
Sn -0.894 0.671 3.167
Ce 0.464 3.119 5.071
Ce -3.394 0.730 8.503
Au -0.724 3.261 7.826
```


27.
The following is a GGA-PBE calculation of a relaxed CaAu2Cl crystal, from Alexandria via LeMat-Bulk.

Output
* raw formation energy: -901 meV/atom
* size of the total moment: 0.00 μB/cell

```
4
Lattice="-3.373 2.947 0.923 -2.874 1.392 -3.273 -5.563 -3.918 0.790" Properties=species:S:1:pos:R:3 pbc="T T T"
Au -5.082 -2.987 0.502
Ca -5.955 0.039 -0.722
Cl -3.098 -0.421 -0.212
Au -9.143 0.083 -1.118
```